First-principles (PBE-GGA) data for ZrCrIr2 after structural relaxation, as listed in Alexandria via LeMat-Bulk.

N(E_F): 3.2 states/eV/cell
Energy of formation: -0.270 eV per atom
Total energy: -9.24 eV per atom
Polymorph energy (0 for the lowest one): 0.2164 eV per atom
Symmetry: Cm (8)

a b c (Å): 4.902 4.902 4.813
angles (deg): 99.56 99.56 34.32
Element x y z (fractional)
Zr  0.000  0.000  0.000
Cr  0.230  0.230  0.673
Ir  0.495  0.495  0.511
Ir  0.751  0.751  0.235